Entry 1:
Na4Tm3InSe8 | PBE-GGA | relaxed

Structure (POSCAR):
```
Na4Tm3InSe8
1.0
4.082 2.357 7.026
-4.082 2.357 7.026
0.000 -4.713 7.026
Na Tm In Se
4 3 1 8
Cartesian
0.000 0.000 0.000 Na
-2.041 -1.178 7.026 Na
-2.041 1.178 14.052 Na
0.000 2.357 7.026 Na
-4.082 0.000 10.539 Tm
-2.041 1.178 3.513 Tm
2.041 1.178 3.513 Tm
0.000 0.000 10.539 In
0.000 0.000 5.101 Se
-2.024 -1.169 12.129 Se
0.000 -2.337 8.949 Se
-2.024 1.169 8.949 Se
2.024 -1.169 12.129 Se
0.000 2.337 12.129 Se
2.024 1.169 8.949 Se
0.000 0.000 15.977 Se
```

Results
- uncorrected formation energy (meV per atom) = -1461
- uncorrected energy (eV/atom) = -4.54
- SG = R-3m (166)

---

Entry 2:
Na2UInSe4 | PBE-GGA | relaxed

Structure (POSCAR):
```
Na2UInSe4
1.0
7.249 0.000 0.000
0.000 4.171 0.000
-2.440 0.000 7.071
Na U In Se
2 1 1 4
Cartesian
0.000 0.000 0.000 Na
-1.220 2.085 3.535 Na
2.405 0.000 3.535 U
3.625 2.085 0.000 In
1.316 2.085 1.878 Se
0.188 0.000 5.238 Se
4.621 0.000 1.833 Se
3.493 2.085 5.193 Se
```

Results
- uncorrected formation energy (meV per atom) = -995
- DOS at the Fermi energy (states/eV per cell) = 4.6
- uncorrected energy (eV/atom) = -4.82
- SG = P2/m (10)

---

Entry 3:
Na3UIn3Se8 | PBE-GGA | relaxed

Structure (POSCAR):
```
Na3UIn3Se8
1.0
4.044 2.335 7.129
-4.044 2.335 7.129
0.000 -4.670 7.129
Na U In Se
3 1 3 8
Cartesian
-2.022 -1.167 7.129 Na
-2.022 1.167 14.258 Na
0.000 2.335 7.129 Na
0.000 0.000 10.693 U
-4.044 0.000 10.693 In
-2.022 1.167 3.564 In
2.022 1.167 3.564 In
0.000 0.000 5.104 Se
-2.018 -1.165 12.300 Se
0.000 -2.330 9.087 Se
-2.018 1.165 9.087 Se
2.018 -1.165 12.300 Se
0.000 2.330 12.300 Se
2.018 1.165 9.087 Se
0.000 0.000 16.282 Se
```

Results
- uncorrected formation energy (meV per atom) = -842
- DOS at the Fermi energy (states/eV per cell) = 5.4
- uncorrected energy (eV/atom) = -4.26
- SG = R-3m (166)

---

Entry 4:
Na2YInSe4 | PBE-GGA | relaxed

Structure (POSCAR):
```
Na2YInSe4
1.0
7.108 0.000 0.000
0.000 4.083 0.000
-2.402 0.000 7.054
Na Y In Se
2 1 1 4
Cartesian
0.000 0.000 0.000 Na
3.554 2.042 0.000 Na
-1.201 2.042 3.527 Y
2.353 0.000 3.527 In
-0.018 0.000 5.158 Se
1.242 2.042 1.956 Se
3.464 2.042 5.098 Se
4.724 0.000 1.896 Se
```

Results
- uncorrected formation energy (meV per atom) = -1237
- uncorrected energy (eV/atom) = -4.46
- SG = P2/m (10)

---

Entry 5:
NaYIn4Se8 | PBE-GGA | relaxed

Structure (POSCAR):
```
NaYIn4Se8
1.0
4.117 2.377 6.835
-4.117 2.377 6.835
0.000 -4.754 6.835
Na Y In Se
1 1 4 8
Cartesian
0.000 0.000 0.000 Na
0.000 0.000 13.086 Y
-2.167 -1.251 9.425 In
0.000 0.000 5.187 In
2.167 -1.251 9.425 In
0.000 2.502 9.425 In
0.000 -2.214 11.132 Se
-1.918 1.107 11.132 Se
0.000 0.000 7.996 Se
-1.961 -1.132 14.752 Se
1.918 1.107 11.132 Se
0.000 0.000 17.784 Se
1.961 -1.132 14.752 Se
0.000 2.265 14.752 Se
```

Results
- uncorrected formation energy (meV per atom) = -799
- DOS at the Fermi energy (states/eV per cell) = 10.9
- uncorrected energy (eV/atom) = -4.13
- SG = R3m (160)

---

Entry 6:
Na2ZnInSe4 | PBE-GGA | relaxed

Structure (POSCAR):
```
Na2ZnInSe4
1.0
-3.754 3.754 3.450
3.754 -3.754 3.450
3.754 3.754 -3.450
Na Zn In Se
2 1 1 4
Cartesian
3.754 0.000 0.000 Na
0.000 3.754 0.000 Na
0.000 0.000 0.000 Zn
0.000 0.000 3.450 In
1.344 -1.344 1.635 Se
-1.344 1.344 1.635 Se
2.409 2.409 1.816 Se
1.344 1.344 5.266 Se
```

Results
- uncorrected formation energy (meV per atom) = -672
- DOS at the Fermi energy (states/eV per cell) = 4.8
- uncorrected energy (eV/atom) = -3.25
- SG = I-42m (121)

---

Entry 7:
NaZn2InSe4 | PBE-GGA | relaxed

Structure (POSCAR):
```
NaZn2InSe4
1.0
-3.019 3.019 5.957
3.019 -3.019 5.957
3.019 3.019 -5.957
Na Zn In Se
1 2 1 4
Cartesian
0.000 0.000 0.000 Na
3.019 0.000 2.978 Zn
0.000 3.019 2.978 Zn
0.000 0.000 5.957 In
1.573 1.573 -1.652 Se
1.446 -1.446 7.608 Se
1.446 1.446 4.305 Se
-1.446 1.446 7.608 Se
```

Results
- uncorrected formation energy (meV per atom) = -726
- uncorrected energy (eV/atom) = -3.29
- SG = I-42m (121)

---

Entry 8:
NaZnIn2Se4 | PBE-GGA | relaxed

Structure (POSCAR):
```
NaZnIn2Se4
1.0
0.000 4.847 5.555
4.344 0.000 5.555
4.344 4.847 0.000
Na Zn In Se
1 1 2 4
Cartesian
0.000 0.000 0.000 Na
4.344 4.847 5.761 Zn
2.172 2.423 2.864 In
6.516 7.270 8.419 In
4.344 2.685 4.495 Se
6.357 4.847 7.219 Se
4.344 7.009 4.495 Se
2.331 4.847 7.219 Se
```

Results
- uncorrected formation energy (meV per atom) = -646
- DOS at the Fermi energy (states/eV per cell) = 1.9
- uncorrected energy (eV/atom) = -3.40
- SG = Fmm2 (42)

---

Entry 9:
Na4ZrIn3Se8 | PBE-GGA | relaxed

Structure (POSCAR):
```
Na4ZrIn3Se8
1.0
7.025 -4.056 0.000
7.025 4.056 0.000
-4.684 0.000 6.988
Na Zr In Se
4 1 3 8
Cartesian
0.000 0.000 0.000 Na
3.512 2.028 0.000 Na
3.512 -2.028 0.000 Na
7.025 0.000 0.000 Na
-2.342 0.000 3.494 Zr
1.170 2.028 3.494 In
1.170 -2.028 3.494 In
4.682 0.000 3.494 In
-0.067 0.000 5.038 Se
3.552 2.088 5.045 Se
5.813 2.088 1.943 Se
2.342 0.000 1.936 Se
7.023 0.000 5.052 Se
3.552 -2.088 5.045 Se
5.813 -2.088 1.943 Se
9.432 0.000 1.950 Se
```

Results
- uncorrected formation energy (meV per atom) = -932
- DOS at the Fermi energy (states/eV per cell) = 3.2
- uncorrected energy (eV/atom) = -4.05
- SG = C2/m (12)

---

Entry 10:
NaZrInSe2 | PBE-GGA | relaxed

Structure (POSCAR):
```
NaZrInSe2
1.0
5.361 0.000 0.000
0.000 5.361 0.000
0.000 0.000 5.113
Na Zr In Se
1 1 1 2
Cartesian
0.000 0.000 0.000 Na
2.681 2.681 0.000 Zr
0.000 0.000 2.556 In
0.000 2.681 2.556 Se
2.681 0.000 2.556 Se
```

Results
- uncorrected formation energy (meV per atom) = 527
- DOS at the Fermi energy (states/eV per cell) = 5.3
- uncorrected energy (eV/atom) = -3.39
- SG = P4/mmm (123)

---

Entry 11:
NaInSi | PBE-GGA | relaxed

Structure (POSCAR):
```
NaInSi
1.0
5.306 -2.298 0.000
5.306 2.298 0.000
-4.874 0.000 5.700
Na In Si
2 2 2
Cartesian
0.000 0.000 0.000 Na
-2.437 0.000 2.850 Na
0.469 0.000 3.709 In
5.268 0.000 1.990 In
3.268 0.000 0.051 Si
2.469 0.000 5.648 Si
```

Results
- uncorrected formation energy (meV per atom) = 88
- DOS at the Fermi energy (states/eV per cell) = 1.1
- uncorrected energy (eV/atom) = -3.07
- SG = C2/m (12)

---

Entry 12:
NaInSi | PBE-GGA | relaxed

Structure (POSCAR):
```
NaInSi
1.0
11.011 0.000 0.000
0.000 6.818 0.000
0.000 0.000 4.039
Na In Si
4 4 4
Cartesian
2.290 1.705 0.068 Na
3.215 5.114 2.088 Na
7.796 1.705 1.951 Na
8.721 5.114 3.971 Na
0.000 0.000 2.019 In
0.000 3.409 2.019 In
5.506 0.000 0.000 In
5.506 3.409 0.000 In
0.912 5.114 0.109 Si
4.594 1.705 2.128 Si
6.417 5.114 1.911 Si
10.100 1.705 3.930 Si
```

Results
- uncorrected formation energy (meV per atom) = 172
- DOS at the Fermi energy (states/eV per cell) = 4.4
- uncorrected energy (eV/atom) = -2.99
- SG = Pnma (62)

---

Entry 13:
NaInSi | PBE-GGA | relaxed

Structure (POSCAR):
```
NaInSi
1.0
3.704 0.000 0.000
0.019 5.921 0.000
1.850 1.958 6.805
Na In Si
2 2 2
Cartesian
0.000 0.000 0.000 Na
1.858 2.954 1.124 Na
1.855 4.937 5.116 In
3.701 2.036 4.031 In
1.863 6.119 2.481 Si
3.715 4.650 2.892 Si
```

Results
- uncorrected formation energy (meV per atom) = 52
- DOS at the Fermi energy (states/eV per cell) = 2.8
- uncorrected energy (eV/atom) = -3.11
- SG = P1 (1)

---

Entry 14:
NaInSi | PBE-GGA | relaxed

Structure (POSCAR):
```
NaInSi
1.0
6.141 0.000 0.000
0.000 3.668 0.000
0.000 0.000 13.419
Na In Si
4 4 4
Cartesian
0.449 0.917 1.449 Na
2.621 2.751 8.158 Na
3.520 0.917 5.261 Na
5.692 2.751 11.971 Na
0.303 2.751 4.238 In
2.767 0.917 10.948 In
3.374 2.751 2.471 In
5.838 0.917 9.181 In
0.766 0.917 6.536 Si
2.304 2.751 13.246 Si
3.837 0.917 0.173 Si
5.375 2.751 6.883 Si
```

Results
- uncorrected formation energy (meV per atom) = 39
- DOS at the Fermi energy (states/eV per cell) = 3.2
- uncorrected energy (eV/atom) = -3.12
- SG = Pnma (62)

---

Entry 15:
NaInSi | PBE-GGA | relaxed

Structure (POSCAR):
```
NaInSi
1.0
4.518 0.000 0.000
0.021 5.759 0.000
0.020 1.733 6.479
Na In Si
2 2 2
Cartesian
0.024 2.143 1.848 Na
4.535 5.349 4.631 Na
2.278 2.719 4.292 In
2.281 4.773 2.186 In
4.538 2.446 5.569 Si
0.022 5.047 0.909 Si
```

Results
- uncorrected formation energy (meV per atom) = 78
- DOS at the Fermi energy (states/eV per cell) = 0.0
- uncorrected energy (eV/atom) = -3.08
- SG = P-1 (2)

---

Entry 16:
NaInSi | PBE-GGA | relaxed

Structure (POSCAR):
```
NaInSi
1.0
4.597 0.000 0.000
-2.298 3.981 0.000
0.000 0.000 7.396
Na In Si
2 2 2
Cartesian
0.000 0.000 0.000 Na
0.000 0.000 3.698 Na
0.000 2.654 2.139 In
2.298 1.327 5.837 In
0.000 2.654 5.028 Si
2.298 1.327 1.330 Si
```

Results
- uncorrected formation energy (meV per atom) = 13
- DOS at the Fermi energy (states/eV per cell) = 0.0
- uncorrected energy (eV/atom) = -3.15
- SG = P6_3mc (186)

---

Entry 17:
Na3InSi | PBE-GGA | relaxed

Structure (POSCAR):
```
Na3InSi
1.0
5.748 0.000 0.000
0.000 5.748 0.000
0.000 0.000 5.748
Na In Si
3 1 1
Cartesian
0.000 0.000 2.874 Na
0.000 2.874 0.000 Na
2.874 0.000 0.000 Na
0.000 0.000 0.000 In
2.874 2.874 2.874 Si
```

Results
- energy above the most stable polymorph in this dataset (eV per formula unit) = 1.88
- uncorrected formation energy (meV per atom) = 713
- DOS at the Fermi energy (states/eV per cell) = 2.2
- uncorrected energy (eV/atom) = -1.71
- SG = Pm-3m (221)

---

Entry 18:
Na2InSi | PBE-GGA | relaxed

Structure (POSCAR):
```
Na2InSi
1.0
-2.127 2.127 10.876
2.127 -2.127 10.876
2.127 2.127 -10.876
Na In Si
4 2 2
Cartesian
3.190 0.996 -2.719 Na
0.996 1.063 2.719 Na
-1.063 1.131 8.157 Na
1.131 1.063 13.595 Na
2.127 0.000 5.438 In
0.000 0.000 10.876 In
0.000 0.000 0.000 Si
0.000 2.127 5.438 Si
```

Results
- energy above the most stable polymorph in this dataset (eV per formula unit) = 0.27
- uncorrected formation energy (meV per atom) = 270
- DOS at the Fermi energy (states/eV per cell) = 3.4
- uncorrected energy (eV/atom) = -2.43
- SG = I-42d (122)

---

Entry 19:
NaInSi | PBE-GGA | relaxed

Structure (POSCAR):
```
NaInSi
1.0
6.748 -1.833 0.000
6.748 1.833 0.000
-1.221 0.000 6.060
Na In Si
2 2 2
Cartesian
1.419 0.000 2.289 Na
10.856 0.000 3.771 Na
5.627 0.000 1.116 In
6.648 0.000 4.945 In
2.198 0.000 5.276 Si
10.077 0.000 0.784 Si
```

Results
- uncorrected formation energy (meV per atom) = 37
- DOS at the Fermi energy (states/eV per cell) = 2.3
- uncorrected energy (eV/atom) = -3.12
- SG = C2/m (12)

---

Entry 20:
NaInSi | PBE-GGA | relaxed

Structure (POSCAR):
```
NaInSi
1.0
3.663 0.000 0.000
-0.041 5.521 0.000
-1.708 -1.945 7.689
Na In Si
2 2 2
Cartesian
0.000 0.000 0.000 Na
-0.001 0.774 5.982 Na
1.828 1.033 2.794 In
1.695 3.483 4.583 In
-0.073 2.733 0.964 Si
1.758 3.870 1.888 Si
```

Results
- uncorrected formation energy (meV per atom) = 66
- DOS at the Fermi energy (states/eV per cell) = 2.1
- uncorrected energy (eV/atom) = -3.09
- SG = P1 (1)